# Tb6TlTe3Rh2 (PBE, relaxed)
data_Tb6TlTe3Rh2
_cell_length_a 19.246
_cell_length_b 4.136
_cell_length_c 8.956
_cell_angle_alpha 90.00
_cell_angle_beta 109.24
_cell_angle_gamma 90.00
_space_group_name_H-M_alt 'C 1 2/m 1'
_space_group_IT_number 12
loop_
_space_group_symop_operation_xyz
'x,y,z'
'-x,-y,-z'
'-x,y,-z'
'x,-y,z'
'x+1/2,y+1/2,z'
'-x+1/2,-y+1/2,-z'
'-x+1/2,y+1/2,-z'
'x+1/2,-y+1/2,z'
loop_
_atom_site_label
_atom_site_type_symbol
_atom_site_fract_x
_atom_site_fract_y
_atom_site_fract_z
Tb1 Tb 0.010 0.000 0.260
Tb2 Tb 0.171 0.500 0.109
Tb3 Tb 0.182 0.500 0.554
Tl1 Tl 0.000 0.500 0.000
Te1 Te 0.000 0.500 0.500
Te2 Te 0.163 0.000 0.828
Rh1 Rh 0.164 0.000 0.322
# Density of states at the Fermi level in states/eV per cell: 9.0
# Total DFT energy (no corrections) in eV per atom: -5.474
# Raw formation energy in kJ/mol of formula units: -1101